No. 1
Entry from OQMD via LeMat-Bulk: a relaxed structure of Lu4AsC2S (PBE).

Cell: 3.586 3.586 13.090 Å, 90.00 90.00 120.00°
Positions (direct):
Lu  0.333  0.667  0.661
Lu  0.000  0.000  0.141
Lu  0.333  0.667  0.339
Lu  0.000  0.000  0.859
C  0.667  0.333  0.240
C  0.667  0.333  0.760
S  0.333  0.667  0.000
As  0.000  0.000  0.500

Values from the calculation:
Magnetization (μB per cell): 0.0
Total energy (eV/atom): -6.72

No. 2
Entry from OQMD via LeMat-Bulk: a relaxed structure of FeSiWAu (PBE).

Cell: 4.367 4.367 4.367 Å, 60.00 60.00 60.00°
Positions (direct):
Au  0.250  0.250  0.250
Si  0.000  0.000  0.000
Fe  0.750  0.750  0.750
W  0.500  0.500  0.500

Values from the calculation:
Magnetization (μB per cell): 1.0
Total energy (eV/atom): -6.92

No. 3
Entry from OQMD via LeMat-Bulk: a relaxed structure of TmHgOs (PBE).

Cell: 4.630 4.630 4.630 Å, 60.00 60.00 60.00°
Positions (direct):
Os  0.000  0.000  0.000
Hg  0.250  0.250  0.250
Tm  0.750  0.750  0.750

Values from the calculation:
Magnetization (μB per cell): 0.5
Total energy (eV/atom): -4.97

No. 4
Entry from OQMD via LeMat-Bulk: a relaxed structure of Pr2SmSe3 (PBE).

Cell: 4.220 4.220 10.385 Å, 90.00 90.00 120.00°
Positions (direct):
Se  0.667  0.333  0.340
Se  0.000  0.000  0.000
Se  0.333  0.667  0.660
Sm  0.000  0.000  0.500
Pr  0.333  0.667  0.169
Pr  0.667  0.333  0.831

Values from the calculation:
Magnetization (μB per cell): 0.0
Total energy (eV/atom): -5.96

No. 5
Entry from OQMD via LeMat-Bulk: a relaxed structure of Dy2Si2C3 (PBE).

Cell: 5.909 5.909 5.154 Å, 101.37 101.37 32.20°
Positions (direct):
Dy  0.658  0.658  0.209
Dy  0.342  0.342  0.791
C  0.330  0.330  0.287
C  0.000  0.000  0.000
C  0.670  0.670  0.713
Si  0.924  0.924  0.288
Si  0.076  0.076  0.712

Values from the calculation:
Magnetization (μB per cell): 0.0
Total energy (eV/atom): -7.12

No. 6
Entry from OQMD via LeMat-Bulk: a relaxed structure of GdHoSi2Mo2C (PBE).

Cell: 5.893 5.893 7.160 Å, 123.46 123.46 37.82°
Positions (direct):
C  0.001  0.001  0.003
Ho  0.574  0.574  0.295
Si  0.869  0.869  0.335
Si  0.131  0.131  0.663
Gd  0.425  0.425  0.703
Mo  0.794  0.794  0.917
Mo  0.206  0.206  0.084

Values from the calculation:
Magnetization (μB per cell): 0.0
Total energy (eV/atom): -7.88

No. 7
Entry from OQMD via LeMat-Bulk: a relaxed structure of GdInIr (PBE).

Cell: 4.934 4.934 6.052 Å, 90.00 90.00 120.00°
Positions (direct):
In  0.667  0.333  0.750
In  0.333  0.667  0.250
Gd  0.667  0.333  0.250
Gd  0.333  0.667  0.750
Ir  0.000  0.000  0.500
Ir  0.000  0.000  0.000

Values from the calculation:
Magnetization (μB per cell): 0.0
Total energy (eV/atom): -5.56

No. 8
Entry from OQMD via LeMat-Bulk: a relaxed structure of Hf4AlC3 (PBE).

Cell: 3.292 3.292 24.954 Å, 90.00 90.00 120.00°
Positions (direct):
Hf  0.000  0.000  0.656
Hf  0.667  0.333  0.948
Hf  0.333  0.667  0.052
Hf  0.333  0.667  0.448
Hf  0.000  0.000  0.844
Hf  0.000  0.000  0.156
Hf  0.667  0.333  0.552
Hf  0.000  0.000  0.344
C  0.667  0.333  0.390
C  0.000  0.000  0.500
C  0.667  0.333  0.110
C  0.333  0.667  0.890
C  0.000  0.000  0.000
C  0.333  0.667  0.610
Al  0.667  0.333  0.750
Al  0.333  0.667  0.250

Values from the calculation:
Magnetization (μB per cell): 0.0
Total energy (eV/atom): -9.74

No. 9
Entry from OQMD via LeMat-Bulk: a relaxed structure of LaNiP (PBE).

Cell: 4.021 4.021 8.169 Å, 90.00 90.00 120.00°
Positions (direct):
P  0.333  0.667  0.750
P  0.667  0.333  0.250
Ni  0.667  0.333  0.750
Ni  0.333  0.667  0.250
La  0.000  0.000  0.000
La  0.000  0.000  0.500

Values from the calculation:
Magnetization (μB per cell): 0.0
Total energy (eV/atom): -6.49

No. 10
Entry from OQMD via LeMat-Bulk: a relaxed structure of MgCo2Se3 (PBE).

Cell: 6.336 6.336 9.407 Å, 90.00 90.00 32.41°
Each line ends with the local moment (μB).
Positions (direct):
Se  0.364  0.364  0.536  0.05
Se  0.922  0.922  0.250  0.03
Se  0.364  0.364  0.964  0.05
Se  0.636  0.636  0.036  0.05
Se  0.078  0.078  0.750  0.03
Se  0.636  0.636  0.464  0.05
Co  0.547  0.547  0.250  1.03
Co  0.000  0.000  0.000  0.09
Co  0.000  0.000  0.500  0.10
Co  0.453  0.453  0.750  1.03
Mg  0.230  0.230  0.250  0.00
Mg  0.770  0.770  0.750  0.00

Values from the calculation:
Magnetization (μB per cell): 2.7
Total energy (eV/atom): -4.67

No. 11
Entry from OQMD via LeMat-Bulk: a relaxed structure of YMgCd2 (PBE).

Cell: 5.119 5.119 8.637 Å, 90.00 90.00 120.00°
Positions (direct):
Cd  0.333  0.667  0.907
Cd  0.333  0.667  0.593
Cd  0.667  0.333  0.407
Cd  0.667  0.333  0.093
Y  0.000  0.000  0.500
Y  0.000  0.000  0.000
Mg  0.333  0.667  0.250
Mg  0.667  0.333  0.750

Values from the calculation:
Magnetization (μB per cell): 0.0
Total energy (eV/atom): -2.60

No. 12
Entry from OQMD via LeMat-Bulk: a relaxed structure of BaCdSO (PBE).

Cell: 7.596 7.596 6.436 Å, 90.00 90.00 32.23°
Positions (direct):
S  0.671  0.671  0.970
S  0.329  0.329  0.470
Ba  0.653  0.653  0.465
Ba  0.347  0.347  0.965
O  0.061  0.061  0.554
O  0.939  0.939  0.054
Cd  0.929  0.929  0.403
Cd  0.071  0.071  0.903

Values from the calculation:
Total energy (eV/atom): -4.60

No. 13
Entry from OQMD via LeMat-Bulk: a relaxed structure of LiTm (PBE).

Cell: 3.307 3.307 5.360 Å, 90.00 90.00 120.00°
Positions (direct):
Li  0.667  0.333  0.750
Tm  0.333  0.667  0.250

Values from the calculation:
Magnetization (μB per cell): 0.0
Total energy (eV/atom): -2.99

No. 14
Entry from OQMD via LeMat-Bulk: a relaxed structure of GdMgAgO3 (PBE).

Cell: 3.247 6.678 8.507 Å, 90.00 90.00 75.93°
Each line ends with the local moment (μB).
Positions (direct):
Gd  0.000  0.000  0.500  -0.03
Gd  0.000  0.000  0.000  -0.01
O  0.844  0.312  0.600  0.10
O  0.156  0.688  0.400  0.10
O  0.156  0.688  0.100  0.10
O  0.949  0.101  0.250  0.00
O  0.844  0.312  0.900  0.10
O  0.051  0.899  0.750  0.00
Ag  0.323  0.355  0.250  0.01
Ag  0.678  0.645  0.750  0.01
Mg  0.655  0.689  0.250  0.00
Mg  0.345  0.311  0.750  0.00

Values from the calculation:
Magnetization (μB per cell): 0.4
Total energy (eV/atom): -5.55

No. 15
Entry from OQMD via LeMat-Bulk: a relaxed structure of CsB4W (PBE).

Cell: 3.099 3.099 8.888 Å, 90.00 90.00 120.00°
Positions (direct):
W  0.000  0.000  0.500
Cs  0.000  0.000  0.000
B  0.667  0.333  0.317
B  0.667  0.333  0.683
B  0.333  0.667  0.683
B  0.333  0.667  0.317

Values from the calculation:
Magnetization (μB per cell): 0.0
Total energy (eV/atom): -6.58

No. 16
Entry from OQMD via LeMat-Bulk: a relaxed structure of Zn3SnS4 (PBE).

Cell: 6.912 6.912 6.912 Å, 131.06 131.06 71.72°
Positions (direct):
Sn  0.000  0.000  0.000
Zn  0.750  0.250  0.500
Zn  0.500  0.500  0.000
Zn  0.250  0.750  0.500
S  0.578  0.578  0.436
S  0.422  0.858  0.000
S  0.142  0.142  0.564
S  0.858  0.422  0.000

Values from the calculation:
Total energy (eV/atom): -3.62

No. 17
Entry from OQMD via LeMat-Bulk: a relaxed structure of HfCuPtPb (PBE).

Cell: 4.716 4.716 4.716 Å, 60.00 60.00 60.00°
Positions (direct):
Hf  0.250  0.250  0.250
Pt  0.500  0.500  0.500
Pb  0.000  0.000  0.000
Cu  0.750  0.750  0.750

Values from the calculation:
Magnetization (μB per cell): 0.0
Total energy (eV/atom): -6.03

No. 18
Entry from OQMD via LeMat-Bulk: a relaxed structure of Ba2Cd3Cl2O4 (PBE).

Cell: 7.520 7.520 7.520 Å, 131.09 131.09 71.66°
Positions (direct):
Cd  0.500  0.000  0.500
Cd  0.000  0.000  0.000
Cd  0.000  0.500  0.500
Ba  0.648  0.648  0.000
Ba  0.352  0.352  0.000
O  0.741  0.259  0.000
O  0.259  0.259  0.518
O  0.741  0.741  0.482
O  0.259  0.741  0.000
Cl  0.750  0.250  0.500
Cl  0.250  0.750  0.500

Values from the calculation:
Total energy (eV/atom): -4.37

No. 19
Entry from OQMD via LeMat-Bulk: a relaxed structure of RbAuSO (PBE).

Cell: 5.044 8.728 9.793 Å, 90.00 95.18 90.00°
Positions (direct):
Rb  0.847  0.269  0.533
Rb  0.153  0.769  0.967
Rb  0.153  0.731  0.467
Rb  0.847  0.231  0.033
S  0.206  0.115  0.794
S  0.206  0.385  0.294
S  0.794  0.885  0.206
S  0.794  0.615  0.706
Au  0.499  0.949  0.715
Au  0.501  0.449  0.785
Au  0.501  0.051  0.285
Au  0.499  0.551  0.215
O  0.328  0.267  0.884
O  0.672  0.767  0.616
O  0.672  0.733  0.116
O  0.328  0.233  0.384

Values from the calculation:
Total energy (eV/atom): -3.99

No. 20
Entry from OQMD via LeMat-Bulk: a relaxed structure of GdScCo (PBE).

Cell: 4.490 4.490 4.490 Å, 60.00 60.00 60.00°
Positions (direct):
Co  0.250  0.250  0.250
Sc  0.000  0.000  0.000
Gd  0.750  0.750  0.750

Values from the calculation:
Magnetization (μB per cell): 0.0
Total energy (eV/atom): -5.38

No. 21
Entry from OQMD via LeMat-Bulk: a relaxed structure of GdSnAuSe3 (PBE).

Cell: 9.441 4.215 16.396 Å, 90.00 90.00 90.00°
Positions (direct):
Sn  0.147  0.750  0.743
Sn  0.647  0.750  0.757
Sn  0.853  0.250  0.257
Sn  0.353  0.250  0.243
Se  0.131  0.250  0.533
Se  0.869  0.750  0.467
Se  0.840  0.250  0.696
Se  0.514  0.750  0.599
Se  0.486  0.250  0.401
Se  0.631  0.250  0.967
Se  0.369  0.750  0.033
Se  0.340  0.250  0.804
Se  0.014  0.750  0.901
Se  0.986  0.250  0.099
Se  0.160  0.750  0.304
Se  0.660  0.750  0.196
Gd  0.303  0.750  0.472
Gd  0.803  0.750  0.028
Gd  0.197  0.250  0.972
Gd  0.697  0.250  0.528
Au  0.197  0.750  0.148
Au  0.303  0.250  0.648
Au  0.803  0.250  0.852
Au  0.697  0.750  0.352

Values from the calculation:
Magnetization (μB per cell): 0.0
Total energy (eV/atom): -4.58

No. 22
Entry from OQMD via LeMat-Bulk: a relaxed structure of CsLaNiSe3 (PBE).

Cell: 9.299 4.263 10.988 Å, 90.00 110.30 90.00°
Each line ends with the local moment (μB).
Positions (direct):
La  0.308  0.750  0.358  0.02
La  0.692  0.250  0.642  0.02
Se  0.071  0.250  0.310  0.11
Se  0.464  0.750  0.645  0.01
Se  0.181  0.750  0.056  0.16
Se  0.819  0.250  0.944  0.16
Se  0.929  0.750  0.690  0.11
Se  0.536  0.250  0.355  0.01
Cs  0.738  0.750  0.207  0.00
Cs  0.262  0.250  0.793  0.00
Ni  0.072  0.250  0.090  0.80
Ni  0.928  0.750  0.910  0.80

Values from the calculation:
Magnetization (μB per cell): 2.6
Total energy (eV/atom): -4.85

No. 23
Entry from OQMD via LeMat-Bulk: a relaxed structure of RbTaTl2Se4 (PBE).

Cell: 6.971 6.971 6.971 Å, 110.46 110.46 107.50°
Positions (direct):
Se  0.159  0.519  0.000
Se  0.519  0.159  0.000
Se  0.841  0.841  0.360
Se  0.481  0.481  0.640
Tl  0.500  0.000  0.500
Tl  0.000  0.500  0.500
Ta  0.500  0.500  0.000
Rb  0.000  0.000  0.000

Values from the calculation:
Magnetization (μB per cell): 0.0
Total energy (eV/atom): -4.72

No. 24
Entry from OQMD via LeMat-Bulk: a relaxed structure of NaAcPd (PBE).

Cell: 5.083 5.083 5.083 Å, 60.00 60.00 60.00°
Positions (direct):
Ac  0.250  0.250  0.250
Na  0.750  0.750  0.750
Pd  0.000  0.000  0.000

Values from the calculation:
Magnetization (μB per cell): 0.0
Total energy (eV/atom): -3.84